No. 1
Hf2FeTe2: relaxed, PBE.

Output
total magnetization: 2.1 μB per formula unit
N(E_F): 5.046 states/eV/cell
excess energy over the best structure of this formula in the dataset: 0.565 eV per atom
raw formation energy: 53 kJ/mol of atoms

The structure in POSCAR format:
```
Hf2FeTe2
1.0
-2.0808 2.0808 7.0963
2.0808 -2.0808 7.0963
2.0808 2.0808 -7.0963
Hf Fe Te
2 1 2
direct
0.0998 0.0998 0.0000
0.9002 0.9002 0.0000
0.5000 0.5000 0.0000
0.2500 0.7500 0.5000
0.7500 0.2500 0.5000
```

---

No. 2
Mg2BeBi: relaxed, PBE.

Output
total magnetization: 0.0 μB per formula unit
energy of formation from the pure elements: 1.51 eV per formula unit
N(E_F): 3.040 states/eV/cell
excess energy over the best structure of this formula in the dataset: 0.036 eV per atom

The structure in POSCAR format:
```
Mg2BeBi
1.0
-2.2465 2.2465 9.2913
2.2465 -2.2465 9.2913
2.2465 2.2465 -9.2913
Mg Be Bi
4 2 2
direct
0.0771 0.6250 0.9521
0.3750 0.3271 0.4521
0.6729 0.1250 0.0479
0.8750 0.9229 0.5479
0.0000 0.0000 0.0000
0.7500 0.2500 0.5000
0.2500 0.7500 0.5000
0.5000 0.5000 0.0000
```

---

No. 3
AlGaCo: relaxed, PBE.

Output
total magnetization: 0.0 μB per formula unit
energy of formation from the pure elements: -1.02 eV per formula unit
N(E_F): 6.388 states/eV/cell

The structure in POSCAR format:
```
AlGaCo
1.0
7.8570 0.0000 0.0000
0.0000 4.0379 0.0000
0.0000 0.0000 5.6890
Al Ga Co
4 4 4
direct
0.1413 0.2500 0.2450
0.3587 0.7500 0.7450
0.6413 0.2500 0.2550
0.8587 0.7500 0.7550
0.1364 0.2500 0.7480
0.3636 0.7500 0.2480
0.6364 0.2500 0.7520
0.8636 0.7500 0.2520
0.1139 0.7500 0.0010
0.3861 0.2500 0.5010
0.6139 0.7500 0.4990
0.8861 0.2500 0.9990
```

---

> What is the total magnetization in the first record?

2.1 μB per formula unit